Density functional theory data (PBE) for Ce2BeSi2Au4 after structural relaxation.

Values from the calculation:
calculated total energy: -4.78 eV per atom
volume: 20.00 Å³/atom
energy relative to the elements, uncorrected: -390 meV per atom

The structure in POSCAR format:
```
Ce2BeSi2Au4
1.0
-1.191 5.740 -2.590
-2.636 -5.377 -2.284
-2.381 -1.724 5.695
Au Si Be Ce
4 2 1 2
Cartesian
-4.270 -2.508 1.285 Au
-1.939 1.147 -0.463 Au
-2.448 -2.681 3.605 Au
-2.569 -4.420 -0.194 Au
-3.452 -4.885 2.347 Si
-1.566 -2.216 1.064 Si
0.000 0.000 0.000 Be
-3.168 -1.594 -1.584 Ce
-3.041 0.233 2.405 Ce
```